Record 1
First-principles (PBE) data for a relaxed Sb2Pd2Au crystal, as listed in Alexandria via LeMat-Bulk.

Cell: 7.915 7.915 3.250 Å, 90.00 90.00 90.00°
Space group P4/mbm (No. 127)
Unique sites:
1 Sb 0.170 0.330 0.000
2 Pd 0.127 0.627 0.500
3 Au 0.000 0.000 0.000

Summary:
ΔE_f (raw) in kJ/mol of formula units: -70
Total moment in μB per formula unit: 0.00
Fermi-level density of states in states/eV/f.u.: 2.495



Record 2
First-principles (PBE) data for a relaxed Sb2PdAu crystal, as listed in Alexandria via LeMat-Bulk.

Cell: 3.2927 3.2927 29.2987 Å, 90.00 90.00 120.00°
Space group R-3m (No. 166, hexagonal axes)
Unique sites:
1 Sb 0.0000 0.0000 0.0889
2 Pd 0.0000 0.0000 0.0000
3 Au 0.0000 0.0000 0.5000

Summary:
ΔE_f (raw) in kJ/mol of formula units: 69
Total moment in μB per formula unit: 0.00
Fermi-level density of states in states/eV/f.u.: 1.916



Record 3
First-principles (PBE) data for a relaxed Sb3Pd7Au crystal, as listed in Alexandria via LeMat-Bulk.

Cell: 8.658 9.748 5.426 Å, 90.00 114.82 90.00°
Space group C2/m (No. 12)
Unique sites:
1 Sb 0.000 0.000 0.000
2 Sb 0.000 0.234 0.500
3 Pd 0.000 0.500 0.500
4 Pd 0.172 0.239 0.182
5 Pd 0.181 0.000 0.548
6 Au 0.000 0.500 0.000

Summary:
ΔE_f (raw) in kJ/mol of formula units: -236
Total moment in μB per formula unit: 0.00
Fermi-level density of states in states/eV/f.u.: 5.927



Record 4
First-principles (PBE) data for a relaxed SbPd4Au crystal, as listed in Alexandria via LeMat-Bulk.

Cell: 4.917 8.668 4.881 Å, 90.00 105.59 90.00°
Space group C2/m (No. 12)
Unique sites:
1 Sb 0.000 0.000 0.000
2 Pd 0.000 0.165 0.500
3 Pd 0.000 0.335 0.000
4 Au 0.000 0.500 0.500

Summary:
ΔE_f (raw) in kJ/mol of formula units: -157
Total moment in μB per formula unit: 0.00
Fermi-level density of states in states/eV/f.u.: 2.462



Record 5
First-principles (PBE) data for a relaxed Sb2Pd6Au crystal, as listed in Alexandria via LeMat-Bulk.

Cell: 9.763 7.660 4.588 Å, 90.00 106.38 90.00°
Space group C2/m (No. 12)
Unique sites:
1 Sb 0.168 0.000 0.334
2 Pd 0.090 0.186 0.804
3 Pd 0.154 0.500 0.105
4 Au 0.000 0.500 0.500

Summary:
ΔE_f (raw) in kJ/mol of formula units: -170
Total moment in μB per formula unit: 0.00
Fermi-level density of states in states/eV/f.u.: 6.156



Record 6
First-principles (PBE) data for a relaxed Sb2Pd9Au crystal, as listed in Alexandria via LeMat-Bulk.

Cell: 4.035 4.035 12.121 Å, 90.00 90.00 90.00°
Space group P4/mmm (No. 123)
Unique sites:
1 Sb 0.000 0.000 0.176
2 Pd 0.000 0.500 0.000
3 Pd 0.000 0.500 0.332
4 Pd 0.500 0.500 0.163
5 Pd 0.500 0.500 0.500
6 Au 0.000 0.000 0.500

Summary:
ΔE_f (raw) in kJ/mol of formula units: -346
Total moment in μB per formula unit: 0.00
Fermi-level density of states in states/eV/f.u.: 6.869



Record 7
First-principles (PBE) data for a relaxed Sb2Pd2Au crystal, as listed in Alexandria via LeMat-Bulk.

Cell: 7.394 7.394 3.672 Å, 90.00 90.00 90.00°
Space group P4/mbm (No. 127)
Unique sites:
1 Sb 0.164 0.336 0.000
2 Pd 0.137 0.637 0.500
3 Au 0.000 0.000 0.500

Summary:
ΔE_f (raw) in kJ/mol of formula units: -105
Total moment in μB per formula unit: 0.00
Fermi-level density of states in states/eV/f.u.: 1.996



Record 8
First-principles (PBE) data for a relaxed SbPd5Au2 crystal, as listed in Alexandria via LeMat-Bulk.

Cell: 4.146 4.146 15.464 Å, 90.00 90.00 90.00°
Space group I4/mmm (No. 139)
Unique sites:
1 Sb 0.000 0.000 0.000
2 Pd 0.000 0.000 0.500
3 Pd 0.000 0.500 0.122
4 Au 0.000 0.000 0.251

Summary:
ΔE_f (raw) in kJ/mol of formula units: -204
Total moment in μB per formula unit: 0.00
Fermi-level density of states in states/eV/f.u.: 2.659